# 1
GaTe2Cl | PBE | relaxed

Cell: 10.629 10.629 10.629 Å, 18.04 18.04 18.04°
Fractional coordinates of all 4 atoms:
Te1 0.914 0.914 0.914
Te2 0.086 0.086 0.086
Ga1 0.000 0.000 0.000
Cl1 0.500 0.500 0.500

Output
symmetry = No. 166

---

# 2
GaTe2Cl | PBE | relaxed

Cell: 7.279 7.279 7.271 Å, 59.96 59.96 90.00°
Fractional coordinates of all 8 atoms:
Te1 0.672 0.125 0.250
Te2 0.078 0.625 0.250
Te3 0.375 0.328 0.750
Te4 0.875 0.922 0.750
Ga1 0.000 0.000 0.000
Ga2 0.750 0.250 0.500
Cl1 0.500 0.500 0.000
Cl2 0.250 0.750 0.500

Output
symmetry = No. 122

---

# 3
GaTeCl | PBE | relaxed

Cell: 4.155 5.969 15.690 Å, 90.00 90.00 90.00°
Fractional coordinates of all 12 atoms:
Ga1 0.500 0.533 0.191
Ga2 0.000 0.967 0.691
Ga3 0.000 0.033 0.309
Ga4 0.500 0.467 0.809
Te1 0.500 0.242 0.663
Te2 0.000 0.742 0.837
Te3 0.000 0.258 0.163
Te4 0.500 0.758 0.337
Cl1 0.500 0.233 0.918
Cl2 0.000 0.733 0.582
Cl3 0.500 0.767 0.082
Cl4 0.000 0.267 0.418

Output
symmetry = No. 58

---

# 4
GaTe3Cl | PBE | relaxed

Cell: 8.181 6.678 6.678 Å, 120.00 90.00 90.00°
Fractional coordinates of all 10 atoms:
Ga1 0.000 0.000 0.000
Ga2 0.500 0.000 0.000
Te1 0.750 0.624 0.812
Te2 0.250 0.812 0.624
Te3 0.250 0.376 0.188
Te4 0.750 0.188 0.376
Te5 0.250 0.812 0.188
Te6 0.750 0.188 0.812
Cl1 0.750 0.667 0.333
Cl2 0.250 0.333 0.667

Output
symmetry = No. 194

---

# 5
Ga2Te2Cl7 | PBE | relaxed

Cell: 11.658 9.856 13.605 Å, 84.33 90.00 90.00°
Fractional coordinates of all 44 atoms:
Ga1 0.584 0.264 0.162
Ga2 0.084 0.736 0.338
Ga3 0.416 0.736 0.838
Ga4 0.916 0.264 0.662
Ga5 0.675 0.886 0.196
Ga6 0.175 0.114 0.304
Ga7 0.325 0.114 0.804
Ga8 0.825 0.886 0.696
Te1 0.850 0.569 0.963
Te2 0.350 0.431 0.537
Te3 0.150 0.431 0.037
Te4 0.650 0.569 0.463
Te5 0.932 0.333 0.058
Te6 0.432 0.667 0.442
Te7 0.068 0.667 0.942
Te8 0.568 0.333 0.558
Cl1 0.426 0.366 0.195
Cl2 0.926 0.634 0.305
Cl3 0.574 0.634 0.805
Cl4 0.074 0.366 0.695
Cl5 0.655 0.330 0.015
Cl6 0.155 0.670 0.485
Cl7 0.345 0.670 0.985
Cl8 0.845 0.330 0.515
Cl9 0.715 0.262 0.275
Cl10 0.215 0.738 0.225
Cl11 0.285 0.738 0.725
Cl12 0.785 0.262 0.775
Cl13 0.528 0.040 0.143
Cl14 0.028 0.960 0.357
Cl15 0.472 0.960 0.857
Cl16 0.972 0.040 0.643
Cl17 0.664 0.878 0.358
Cl18 0.164 0.122 0.142
Cl19 0.336 0.122 0.642
Cl20 0.836 0.878 0.858
Cl21 0.832 0.970 0.130
Cl22 0.332 0.030 0.370
Cl23 0.168 0.030 0.870
Cl24 0.668 0.970 0.630
Cl25 0.619 0.697 0.143
Cl26 0.119 0.303 0.357
Cl27 0.381 0.303 0.857
Cl28 0.881 0.697 0.643

Output
symmetry = No. 14

---

# 6
GaTe2Cl | PBE | relaxed

Cell: 5.717 8.220 14.775 Å, 109.29 90.00 90.00°
Fractional coordinates of all 16 atoms:
Ga1 0.044 0.379 0.574
Ga2 0.956 0.621 0.426
Ga3 0.544 0.121 0.926
Ga4 0.456 0.879 0.074
Te1 0.822 0.876 0.953
Te2 0.178 0.124 0.047
Te3 0.322 0.624 0.547
Te4 0.678 0.376 0.453
Te5 0.668 0.424 0.041
Te6 0.332 0.576 0.959
Te7 0.168 0.076 0.459
Te8 0.832 0.924 0.541
Cl1 0.067 0.575 0.279
Cl2 0.933 0.425 0.721
Cl3 0.567 0.925 0.221
Cl4 0.433 0.075 0.779

Output
symmetry = No. 14

---

Across the entries above, energy relative to the elements, uncorrected takes the values 143; 15; -720; -45; -901; -441 meV per atom, respectively.
Across the entries above, total energy takes the values -2.647; -2.774; -3.392; -2.905; -3.198; -3.230 eV per atom, respectively.